Here is a relaxed structure of KScSi from Alexandria via LeMat-Bulk. Energies are from GGA-PBE.

Cell lengths 6.4930, 6.4930, 9.9043 Å; angles 90.00, 90.00, 120.00 degrees
Closest atoms and distances in Å follow each position.
Sites, in units of the cell vectors:
Sc  0.0000  0.0000  0.2500  2 Si 2.48
Sc  0.0000  0.0000  0.7500  2 Si 2.48
Si  0.0000  0.0000  0.5000  2 Sc 2.48
Si  0.0000  0.0000  0.0000  2 Sc 2.48
K  0.6667  0.3333  0.7500  3 Sc 3.75
K  0.3333  0.6667  0.2500  3 Sc 3.75

Calculated values
Total magnetization: 0.01 μB per atom
Space-group type: P6_3/mmc (194)
Energy above the lowest structure with this stoichiometry: 1.3028 eV/atom
Theoretical density: 1.03 g/cm3
Formation energy (no corrections): 3.1 eV per formula unit

Here is a relaxed structure of K2ScSi from Alexandria via LeMat-Bulk. Energies are from GGA-PBE.

Cell lengths 3.8030, 3.8030, 10.4630 Å; angles 90.00, 90.00, 90.00 degrees
Closest atoms and distances in Å follow each position.
Sites, in units of the cell vectors:
Sc  0.0000  0.0000  0.6113  4 Si 2.71
K  0.5000  0.5000  0.3145  1 Si 3.46, 4 K 3.80
K  0.0000  0.0000  0.9288  1 Sc 3.32
Si  0.5000  0.5000  0.6453  4 Sc 2.71

Calculated values
Total magnetization: 0.00 μB per atom
Space-group type: P4mm (99)
Theoretical density: 1.66 g/cm3
Formation energy (no corrections): 0.0 eV per formula unit

Here is a relaxed structure of K2ScSi from Alexandria via LeMat-Bulk. Energies are from GGA-PBE.

Cell lengths 3.1963, 3.1963, 12.2703 Å; angles 90.00, 90.00, 90.00 degrees
Closest atoms and distances in Å follow each position.
Sites, in units of the cell vectors:
K  0.0000  0.0000  0.9590  4 K 3.20, 4 Si 3.42
K  0.0000  0.0000  0.5410  4 K 3.20, 4 Si 3.42
Sc  0.5000  0.5000  0.2500  4 Sc 3.20
Si  0.5000  0.5000  0.7500  4 Si 3.20, 8 K 3.42

Calculated values
Total magnetization: 0.11 μB per atom
Space-group type: P4/mmm (123)
Theoretical density: 2.00 g/cm3
Formation energy (no corrections): 2.7 eV per formula unit

Here is a relaxed structure of KSc2Si from Alexandria via LeMat-Bulk. Energies are from GGA-PBE.

Cell lengths 8.9309, 8.9309, 8.9309 Å; angles 159.09, 151.68, 35.46 degrees
Closest atoms and distances in Å follow each position.
Sites, in units of the cell vectors:
K  0.3268  0.8268  0.5000  2 K 3.24, 2 Si 3.54
Sc  0.6470  0.1470  0.5000  2 Si 2.81, 2 Sc 3.14
Sc  0.0142  0.0142  0.0000  4 Si 2.72
Si  0.5120  0.5120  0.0000  6 Sc 2.72-2.81

Calculated values
Total magnetization: 0.24 μB per atom
Space-group type: Imm2 (44)
Theoretical density: 2.17 g/cm3
Formation energy (no corrections): 0.3 eV per formula unit